Density functional theory data (GGA-PBE) for a relaxed structure of Cs2ErReN4.

Results
**ΔE_f (raw)**: -3.21 eV/f.u.
**Density**: 4.9 g/cm3

Cell: 5.838 7.235 12.289 Å, 84.50 76.26 66.20°
Positions (direct):
N 0.589 0.153 0.081
N 0.927 0.653 0.581
N 0.823 0.847 0.919
N 0.492 0.347 0.581
N 0.419 0.653 0.419
N 0.331 0.847 0.081
N 0.161 0.347 0.419
N 0.258 0.153 0.919
Re 0.500 0.000 0.000
Re 0.250 0.500 0.500
Er 0.750 0.500 0.500
Er 0.000 0.000 0.000
Cs 0.572 0.500 0.855
Cs 0.178 0.000 0.645
Cs 0.822 0.000 0.355
Cs 0.928 0.500 0.145

***

Density functional theory data (GGA-PBE) for a relaxed structure of CsNaErSe2.

Results
**ΔE_f (raw)**: -5.76 eV/f.u.
**Density**: 3.8 g/cm3

Cell: 7.036 7.415 8.806 Å, 114.90 90.00 90.00°
Positions (direct):
Na 0.000 0.500 0.000
Na 0.000 0.000 0.000
Cs 0.260 0.750 0.500
Cs 0.740 0.250 0.500
Er 0.500 0.750 0.000
Er 0.500 0.250 0.000
Se 0.330 0.104 0.208
Se 0.670 0.896 0.792
Se 0.330 0.396 0.792
Se 0.670 0.604 0.208

***

Density functional theory data (GGA-PBE) for a relaxed structure of Cs3Nd2ErO6.

Results
**ΔE_f (raw)**: -30.57 eV/f.u.
**Density**: 6.6 g/cm3

Cell: 6.314 6.314 7.239 Å, 98.34 98.34 120.01°
Positions (direct):
Er 0.000 0.000 0.000
O 0.735 0.735 0.168
O 0.944 0.624 0.833
O 0.265 0.265 0.832
O 0.056 0.376 0.167
O 0.624 0.944 0.833
O 0.376 0.056 0.167
Cs 0.834 0.166 0.500
Cs 0.166 0.834 0.500
Cs 0.500 0.500 0.500
Nd 0.333 0.667 0.000
Nd 0.667 0.333 0.000